# 1
VASP calculation (PBE) on PrGd3N after structural relaxation.

Calculated values
Raw total energy (eV/atom): -11.558
Formation energy without anion corrections (eV per atom): -0.49

a b c (Å): 5.0427 5.0427 5.0427
angles (deg): 90.00 90.00 90.00
Last column: magnetic moment on the atom in μB.
Positions (direct):
Gd 0.5000 0.0000 0.0000  7.17
Gd 0.0000 0.5000 0.0000  7.17
N 0.0000 0.0000 0.0000  -0.04
Pr 0.5000 0.5000 0.5000  0.18
Gd 0.0000 0.0000 0.5000  7.17


# 2
VASP calculation (PBE) on Pr2Gd4N after structural relaxation.

Calculated values
Raw total energy (eV/atom): -10.850
Formation energy without anion corrections (eV per atom): -0.25

a b c (Å): 4.8458 4.8458 9.5853
angles (deg): 75.36 75.36 90.00
Last column: magnetic moment on the atom in μB.
Positions (direct):
N 0.0000 0.0000 0.0000  -0.04
Gd 0.6686 0.6686 0.6629  7.19
Gd 0.5000 0.0000 0.0000  7.08
Gd 0.0000 0.5000 0.0000  7.08
Pr 0.1392 0.1392 0.7217  0.11
Pr 0.8608 0.8608 0.2783  0.11
Gd 0.3314 0.3314 0.3371  7.19


# 3
VASP calculation (PBE) on Gd2PtN after structural relaxation.

Calculated values
Raw total energy (eV/atom): -11.801
Formation energy without anion corrections (eV per atom): -1.17

a b c (Å): 3.6403 3.6403 7.1436
angles (deg): 75.24 75.24 60.00
Last column: magnetic moment on the atom in μB.
Positions (direct):
N 0.0000 0.0000 0.0000  -0.08
Pt 0.5000 0.5000 0.5000  0.01
Gd 0.2651 0.2651 0.2046  7.05
Gd 0.7349 0.7349 0.7954  7.05


# 4
VASP calculation (PBE) on Gd3PtN after structural relaxation.

Calculated values
Raw total energy (eV/atom): -12.322
Formation energy without anion corrections (eV per atom): -1.00

a b c (Å): 4.7719 4.7719 4.7719
angles (deg): 90.00 90.00 90.00
Last column: magnetic moment on the atom in μB.
Positions (direct):
Gd 0.5000 0.0000 0.0000  7.20
N 0.0000 0.0000 0.0000  -0.07
Pt 0.5000 0.5000 0.5000  0.03
Gd 0.0000 0.0000 0.5000  7.20
Gd 0.0000 0.5000 0.0000  7.20


> Which value of raw total energy does entry 4 give?

-12.322 eV/atom


> Which formula does entry 4 have?

Gd3PtN


> Number 4 is which compound?

Gd3PtN


> Look up the raw total energy of the first one.

-11.558 eV/atom